[1]
Density functional theory data (PBE) for a relaxed Cu2SiHg crystal.

* DOS at the Fermi energy: 0.38 states/eV/atom
* calculated volume: 60.82 Å³ per cell
* SG: Pmmm
* polymorph energy (0 for the lowest one): 47 meV per atom
* M_tot: 0.000 μB per formula unit
* energy relative to the elements, uncorrected: 20.7 kJ per mole of atoms

abc: 2.8361 3.5178 6.0962
angles: 90.00 90.00 90.00
Element x y z (fractional)
Cu 0.0000 0.0000 0.2061
Cu 0.0000 0.0000 0.7939
Si 0.5000 0.5000 0.0000
Hg 0.5000 0.5000 0.5000


[2]
Density functional theory data (PBE) for a relaxed Cu2SiHg crystal.

* DOS at the Fermi energy: 0.35 states/eV/atom
* calculated volume: 142.82 Å³ per cell
* SG: I-42d
* polymorph energy (0 for the lowest one): 150 meV per atom
* M_tot: 0.000 μB per formula unit
* energy relative to the elements, uncorrected: 30.7 kJ per mole of atoms

abc: 8.6376 8.6376 8.6376
angles: 151.89 151.89 40.18
Element x y z (fractional)
Cu 0.0265 0.6250 0.9015
Cu 0.3750 0.2765 0.4015
Cu 0.7235 0.1250 0.0985
Cu 0.8750 0.9735 0.5985
Si 0.0000 0.0000 0.0000
Si 0.7500 0.2500 0.5000
Hg 0.2500 0.7500 0.5000
Hg 0.5000 0.5000 0.0000


[3]
Density functional theory data (PBE) for a relaxed Cu2Si2Hg crystal.

* DOS at the Fermi energy: 0.36 states/eV/atom
* calculated volume: 158.95 Å³ per cell
* SG: P4/mbm
* polymorph energy (0 for the lowest one): 99 meV per atom
* M_tot: 0.000 μB per formula unit
* energy relative to the elements, uncorrected: 28.4 kJ per mole of atoms

abc: 7.8080 7.8080 2.6072
angles: 90.00 90.00 90.00
Element x y z (fractional)
Cu 0.1636 0.3364 0.0000
Cu 0.3364 0.8364 0.0000
Cu 0.6636 0.1636 0.0000
Cu 0.8364 0.6636 0.0000
Si 0.1270 0.6270 0.5000
Si 0.3730 0.1270 0.5000
Si 0.6270 0.8730 0.5000
Si 0.8730 0.3730 0.5000
Hg 0.0000 0.0000 0.0000
Hg 0.5000 0.5000 0.0000


[4]
Density functional theory data (PBE) for a relaxed Cu2SiHg crystal.

* DOS at the Fermi energy: 0.54 states/eV/atom
* calculated volume: 62.68 Å³ per cell
* SG: F-43m
* polymorph energy (0 for the lowest one): 259 meV per atom
* M_tot: 0.000 μB per formula unit
* energy relative to the elements, uncorrected: 41.2 kJ per mole of atoms

abc: 4.4588 4.4588 4.4588
angles: 60.00 60.00 60.00
Element x y z (fractional)
Cu 0.0000 0.0000 0.0000
Cu 0.2500 0.2500 0.2500
Si 0.5000 0.5000 0.5000
Hg 0.7500 0.7500 0.7500


[5]
Density functional theory data (PBE) for a relaxed Cu2SiHg crystal.

* DOS at the Fermi energy: 0.59 states/eV/atom
* calculated volume: 61.43 Å³ per cell
* SG: Cmmm
* polymorph energy (0 for the lowest one): 135 meV per atom
* M_tot: 0.000 μB per formula unit
* energy relative to the elements, uncorrected: 29.2 kJ per mole of atoms

abc: 4.7525 4.7525 2.8001
angles: 90.00 90.00 103.74
Element x y z (fractional)
Cu 0.0000 0.5000 0.0000
Cu 0.5000 0.0000 0.0000
Si 0.0000 0.0000 0.5000
Hg 0.5000 0.5000 0.5000


[6]
Density functional theory data (PBE) for a relaxed Cu2SiHg crystal.

* DOS at the Fermi energy: 0.25 states/eV/atom
* calculated volume: 61.48 Å³ per cell
* SG: P4/mmm
* polymorph energy (0 for the lowest one): 46 meV per atom
* M_tot: 0.000 μB per formula unit
* energy relative to the elements, uncorrected: 20.6 kJ per mole of atoms

abc: 2.8619 2.8619 7.5063
angles: 90.00 90.00 90.00
Element x y z (fractional)
Cu 0.0000 0.0000 0.2035
Cu 0.0000 0.0000 0.7965
Si 0.5000 0.5000 0.0000
Hg 0.5000 0.5000 0.5000